5
Lattice="4.544 0.000 0.000 0.000 4.544 0.000 0.000 0.000 4.818" Properties=species:S:1:pos:R:3 comment="SrScNbNi2, relaxed, DFT PBEsol" final_energy_ry_per_atom=-0.334 total_magnetization_mub_per_atom=0.3599 delta_e_f_mev_per_atom=1775 n_ef_per_ev_cell=6.12 pbc="T T T"
Nb 2.272 2.272 2.409
Ni 2.272 0.000 0.000
Ni 0.000 2.272 0.000
Sr 0.000 0.000 0.000
Sc 0.000 0.000 2.409